Density functional theory data (GGA-PBE) for SrCa2Ni after structural relaxation.

Cell lengths 6.4291, 6.4291, 6.4291 Å; angles 136.14, 136.14, 63.76 degrees
With the nearest neighbours (Å) after each atom.
Positions (direct):
Sr 0.0000 0.0000 0.0000  4 Ni 3.40, 8 Ca 3.64
Ca 0.2500 0.7500 0.5000  4 Ca 3.40, 4 Ni 3.64, 4 Sr 3.64
Ca 0.7500 0.2500 0.5000  4 Ca 3.40, 4 Ni 3.64, 4 Sr 3.64
Ni 0.5000 0.5000 0.0000  4 Sr 3.40, 8 Ca 3.64

Computed properties:
Distance to the lowest polymorph of the same formula in meV/atom: 367
Space group: I4/mmm
Formation energy from the elements in meV/atom: 299
N(E_F) in states/eV per cell: 2.8

Density functional theory data (GGA-PBE) for SrCa3Ni after structural relaxation.

Cell lengths 4.0299, 7.3842, 7.3842 Å; angles 61.11, 90.00, 90.00 degrees
With the nearest neighbours (Å) after each atom.
Positions (direct):
Sr 0.0000 0.0000 0.0000  6 Ca 3.83-4.06, 2 Sr 4.03
Ca 0.0000 0.5592 0.5592  2 Ni 2.65
Ca 0.5000 0.0284 0.5092  1 Ni 2.67
Ca 0.5000 0.5092 0.0284  1 Ni 2.67
Ni 0.5000 0.4235 0.4235  4 Ca 2.65-2.67

Computed properties:
Distance to the lowest polymorph of the same formula in meV/atom: 269
Space group: Amm2
Formation energy from the elements in meV/atom: 212
N(E_F) in states/eV per cell: 4.9

Density functional theory data (GGA-PBE) for SrCa3Ni after structural relaxation.

Cell lengths 7.1037, 7.1037, 7.1037 Å; angles 92.43, 92.43, 92.43 degrees
With the nearest neighbours (Å) after each atom.
Positions (direct):
Sr 0.0000 0.0000 0.0000  2 Ni 2.94
Sr 0.5000 0.5000 0.5000  2 Ni 2.94
Ca 0.0247 0.7500 0.4753  1 Ni 2.82
Ca 0.2500 0.5247 0.9753  1 Ni 2.82
Ca 0.4753 0.0247 0.7500  1 Ni 2.82
Ca 0.5247 0.9753 0.2500  1 Ni 2.82
Ca 0.7500 0.4753 0.0247  1 Ni 2.82
Ca 0.9753 0.2500 0.5247  1 Ni 2.82
Ni 0.2500 0.2500 0.2500  3 Ca 2.82, 2 Sr 2.94
Ni 0.7500 0.7500 0.7500  3 Ca 2.82, 2 Sr 2.94

Computed properties:
Distance to the lowest polymorph of the same formula in meV/atom: 137
Space group: R-3c
Formation energy from the elements in meV/atom: 79
N(E_F) in states/eV per cell: 8.7

Density functional theory data (GGA-PBE) for SrCa3Ni after structural relaxation.

Cell lengths 6.8203, 7.2941, 7.7536 Å; angles 96.68, 109.14, 93.31 degrees
With the nearest neighbours (Å) after each atom.
Positions (direct):
Sr 0.2117 0.3316 0.1374  2 Ni 3.02-3.11
Sr 0.7883 0.6684 0.8626  2 Ni 3.02-3.11
Ca 0.2408 0.4161 0.6574  2 Ni 2.78-3.04
Ca 0.2677 0.9363 0.8017  1 Ni 2.93
Ca 0.2844 0.8404 0.3065  1 Ni 2.95
Ca 0.7156 0.1596 0.6935  1 Ni 2.95
Ca 0.7323 0.0637 0.1983  1 Ni 2.93
Ca 0.7592 0.5839 0.3426  2 Ni 2.78-3.04
Ni 0.4462 0.6543 0.0299  1 Ni 2.45
Ni 0.5538 0.3457 0.9701  1 Ni 2.45

Computed properties:
Distance to the lowest polymorph of the same formula in meV/atom: 18
Space group: P-1
Formation energy from the elements in meV/atom: -39
N(E_F) in states/eV per cell: 7.8

Density functional theory data (GGA-PBE) for SrCaNi2 after structural relaxation.

Cell lengths 3.4001, 3.4001, 8.2541 Å; angles 90.00, 90.00, 90.00 degrees
With the nearest neighbours (Å) after each atom.
Positions (direct):
Sr 0.0000 0.0000 0.0000  1 Ni 2.80
Ca 0.5000 0.5000 0.4246  1 Ni 2.63
Ni 0.0000 0.0000 0.6604  4 Ni 2.50
Ni 0.5000 0.5000 0.7428  4 Ni 2.50, 1 Ca 2.63

Computed properties:
Distance to the lowest polymorph of the same formula in meV/atom: 256
Space group: P4mm
Formation energy from the elements in meV/atom: 178
N(E_F) in states/eV per cell: 4.9

Density functional theory data (GGA-PBE) for SrCa7Ni2 after structural relaxation.

Cell lengths 8.8028, 8.8028, 5.4946 Å; angles 90.00, 90.00, 117.53 degrees
With the nearest neighbours (Å) after each atom.
Positions (direct):
Sr 0.0000 0.0000 0.0000  8 Ca 3.93
Ca 0.0503 0.3396 0.5000  2 Ni 2.90-2.95
Ca 0.2986 0.7014 0.0000  2 Ni 2.75
Ca 0.3396 0.0503 0.5000  2 Ni 2.90-2.95
Ca 0.5000 0.5000 0.5000  2 Ni 3.00
Ca 0.6604 0.9497 0.5000  2 Ni 2.90-2.95
Ca 0.7014 0.2986 0.0000  2 Ni 2.75
Ca 0.9497 0.6604 0.5000  2 Ni 2.90-2.95
Ni 0.3009 0.6991 0.5000  7 Ca 2.75-3.00
Ni 0.6991 0.3009 0.5000  7 Ca 2.75-3.00

Computed properties:
Space group: Cmmm
Formation energy from the elements in meV/atom: 19
N(E_F) in states/eV per cell: 6.3

Density functional theory data (GGA-PBE) for Sr2CaNi after structural relaxation.

Cell lengths 3.7813, 3.7813, 9.8579 Å; angles 90.00, 90.00, 90.19 degrees
With the nearest neighbours (Å) after each atom.
Positions (direct):
Sr 0.0000 0.0000 0.1775  4 Ni 3.19-3.20, 1 Sr 3.50
Sr 0.0000 0.0000 0.8225  4 Ni 3.19-3.20, 1 Sr 3.50
Ca 0.5000 0.5000 0.5000  4 Ca 3.78, 8 Sr 4.15-4.16
Ni 0.5000 0.5000 0.0000  8 Sr 3.19-3.20

Computed properties:
Distance to the lowest polymorph of the same formula in meV/atom: 17
Space group: Cmmm
Formation energy from the elements in meV/atom: 84
N(E_F) in states/eV per cell: 4.0

Density functional theory data (GGA-PBE) for SrCa2Ni after structural relaxation.

Cell lengths 5.5351, 5.5351, 5.5351 Å; angles 60.00, 60.00, 60.00 degrees
With the nearest neighbours (Å) after each atom.
Positions (direct):
Sr 0.0000 0.0000 0.0000  8 Ca 3.39
Ca 0.2500 0.2500 0.2500  4 Ni 3.39, 4 Sr 3.39
Ca 0.7500 0.7500 0.7500  4 Ni 3.39, 4 Sr 3.39
Ni 0.5000 0.5000 0.5000  8 Ca 3.39

Computed properties:
Distance to the lowest polymorph of the same formula in meV/atom: 406
Space group: Fm-3m
Formation energy from the elements in meV/atom: 339
N(E_F) in states/eV per cell: 8.1

Density functional theory data (GGA-PBE) for Sr3CaNi after structural relaxation.

Cell lengths 5.9265, 5.9265, 5.9265 Å; angles 90.00, 90.00, 90.00 degrees
With the nearest neighbours (Å) after each atom.
Positions (direct):
Sr 0.0000 0.0000 0.5000  2 Ni 2.96
Sr 0.0000 0.5000 0.0000  2 Ni 2.96
Sr 0.5000 0.0000 0.0000  2 Ni 2.96
Ca 0.5000 0.5000 0.5000  12 Sr 4.19
Ni 0.0000 0.0000 0.0000  6 Sr 2.96

Computed properties:
Distance to the lowest polymorph of the same formula in meV/atom: 0
Space group: Pm-3m
Formation energy from the elements in meV/atom: 5
N(E_F) in states/eV per cell: 3.6

Density functional theory data (GGA-PBE) for SrCa3Ni after structural relaxation.

Cell lengths 6.7297, 7.2007, 7.3904 Å; angles 90.00, 90.74, 90.00 degrees
With the nearest neighbours (Å) after each atom.
Positions (direct):
Sr 0.0930 0.2500 0.3844  1 Ni 3.03
Sr 0.9070 0.7500 0.6156  1 Ni 3.03
Ca 0.0930 0.7500 0.1206  1 Ni 2.83
Ca 0.4240 0.0013 0.7420  2 Ni 2.88-2.91
Ca 0.4240 0.4987 0.7420  2 Ni 2.88-2.91
Ca 0.5760 0.5013 0.2580  2 Ni 2.88-2.91
Ca 0.5760 0.9987 0.2580  2 Ni 2.88-2.91
Ca 0.9070 0.2500 0.8794  1 Ni 2.83
Ni 0.3159 0.7500 0.4482  5 Ca 2.83-2.91, 1 Sr 3.03
Ni 0.6841 0.2500 0.5518  5 Ca 2.83-2.91, 1 Sr 3.03

Computed properties:
Distance to the lowest polymorph of the same formula in meV/atom: 36
Space group: P2_1/m
Formation energy from the elements in meV/atom: -22
N(E_F) in states/eV per cell: 6.3

Density functional theory data (GGA-PBE) for Sr2CaNi after structural relaxation.

Cell lengths 5.7753, 5.7753, 5.7753 Å; angles 60.00, 60.00, 60.00 degrees
With the nearest neighbours (Å) after each atom.
Positions (direct):
Sr 0.2500 0.2500 0.2500  4 Ni 3.54, 4 Ca 3.54
Sr 0.7500 0.7500 0.7500  4 Ca 3.54, 4 Ni 3.54
Ca 0.0000 0.0000 0.0000  8 Sr 3.54
Ni 0.5000 0.5000 0.5000  8 Sr 3.54

Computed properties:
Distance to the lowest polymorph of the same formula in meV/atom: 297
Space group: Fm-3m
Formation energy from the elements in meV/atom: 363
N(E_F) in states/eV per cell: 8.0

Density functional theory data (GGA-PBE) for SrCa3Ni after structural relaxation.

Cell lengths 9.5725, 9.5725, 9.5725 Å; angles 44.11, 44.11, 44.11 degrees
With the nearest neighbours (Å) after each atom.
Positions (direct):
Sr 0.1844 0.1844 0.1844  1 Ni 3.21
Sr 0.8156 0.8156 0.8156  1 Ni 3.21
Ca 0.1158 0.3418 0.7000  2 Ni 2.87-2.92
Ca 0.3000 0.8842 0.6582  2 Ni 2.87-2.92
Ca 0.3418 0.7000 0.1158  2 Ni 2.87-2.92
Ca 0.6582 0.3000 0.8842  2 Ni 2.87-2.92
Ca 0.7000 0.1158 0.3418  2 Ni 2.87-2.92
Ca 0.8842 0.6582 0.3000  2 Ni 2.87-2.92
Ni 0.3084 0.3084 0.3084  6 Ca 2.87-2.92, 1 Sr 3.21
Ni 0.6916 0.6916 0.6916  6 Ca 2.87-2.92, 1 Sr 3.21

Computed properties:
Distance to the lowest polymorph of the same formula in meV/atom: 113
Space group: R-3
Formation energy from the elements in meV/atom: 56
N(E_F) in states/eV per cell: 7.9

Density functional theory data (GGA-PBE) for SrCaNi4 after structural relaxation.

Cell lengths 5.1682, 5.1682, 8.5340 Å; angles 90.00, 90.00, 120.00 degrees
With the nearest neighbours (Å) after each atom.
Positions (direct):
Sr 0.3333 0.6667 0.0684  12 Ni 3.04-3.18, 1 Ca 3.17, 3 Sr 3.20
Sr 0.6667 0.3333 0.9316  12 Ni 3.04-3.18, 1 Ca 3.17, 3 Sr 3.20
Ca 0.3333 0.6667 0.4398  12 Ni 2.99-3.03, 3 Ca 3.16, 1 Sr 3.17
Ca 0.6667 0.3333 0.5602  12 Ni 2.99-3.03, 3 Ca 3.16, 1 Sr 3.17
Ni 0.0000 0.0000 0.0000  6 Ni 2.65
Ni 0.0000 0.0000 0.5000  6 Ni 2.52
Ni 0.1629 0.3257 0.7414  6 Ni 2.52-2.65
Ni 0.1629 0.8371 0.7414  6 Ni 2.52-2.65
Ni 0.3257 0.1629 0.2586  6 Ni 2.52-2.65
Ni 0.6743 0.8371 0.7414  6 Ni 2.52-2.65
Ni 0.8371 0.1629 0.2586  6 Ni 2.52-2.65
Ni 0.8371 0.6743 0.2586  6 Ni 2.52-2.65

Computed properties:
Distance to the lowest polymorph of the same formula in meV/atom: 15
Space group: P-3m1
Formation energy from the elements in meV/atom: -62
N(E_F) in states/eV per cell: 11.1